A plane-wave DFT calculation with PBE was carried out for AlZnGa2Ge after structural relaxation.

a = 4.760 Å, b = 4.867 Å, c = 4.760 Å
α = 90.00°, β = 90.00°, γ = 90.00°
Fractional coordinates of all 5 atoms:
Ge (0.500, 0.500, 0.500)
Zn (0.000, 0.000, 0.000)
Ga (0.000, 0.000, 0.500)
Ga (0.500, 0.000, 0.000)
Al (0.000, 0.500, 0.000)

## Properties
electronic total energy: -2.647 eV per atom
energy relative to the elements: 0.490 eV per atom



A plane-wave DFT calculation with PBE was carried out for Na2H2Pt after structural relaxation.

a = 5.584 Å, b = 5.584 Å, c = 4.219 Å
α = 90.00°, β = 90.00°, γ = 90.00°
Fractional coordinates of all 10 atoms:
Na (0.172, 0.672, 0.500)
Na (0.672, 0.828, 0.500)
Na (0.828, 0.328, 0.500)
Na (0.328, 0.172, 0.500)
Pt (0.000, 0.000, 0.000)
Pt (0.500, 0.500, 0.000)
H (0.274, 0.774, 0.000)
H (0.774, 0.726, 0.000)
H (0.726, 0.226, 0.000)
H (0.226, 0.274, 0.000)

## Properties
electronic total energy: -3.120 eV per atom



A plane-wave DFT calculation with PBE was carried out for Ca2ZrSb after structural relaxation.

a = 6.290 Å, b = 6.290 Å, c = 6.290 Å
α = 138.40°, β = 138.40°, γ = 60.28°
Fractional coordinates of all 4 atoms:
Sb (0.250, 0.750, 0.500)
Ca (0.000, 0.000, 0.000)
Ca (0.500, 0.500, 0.000)
Zr (0.750, 0.250, 0.500)

## Properties
electronic total energy: -4.351 eV per atom



A plane-wave DFT calculation with PBE was carried out for ZrSc2Si after structural relaxation.

a = 5.345 Å, b = 5.345 Å, c = 3.066 Å
α = 90.00°, β = 90.00°, γ = 111.51°
Fractional coordinates of all 4 atoms:
Sc (0.000, 0.000, 0.000)
Sc (0.500, 0.500, 0.000)
Si (0.500, 0.000, 0.500)
Zr (0.000, 0.500, 0.500)

## Properties
electronic total energy: -6.806 eV per atom



A plane-wave DFT calculation with PBE was carried out for BaCa3Ru after structural relaxation.

a = 5.671 Å, b = 5.671 Å, c = 5.671 Å
α = 90.00°, β = 90.00°, γ = 90.00°
Fractional coordinates of all 5 atoms:
Ru (0.000, 0.000, 0.000)
Ca (0.000, 0.500, 0.000)
Ca (0.000, 0.000, 0.500)
Ca (0.500, 0.000, 0.000)
Ba (0.500, 0.500, 0.500)

## Properties
electronic total energy: -3.334 eV per atom
energy relative to the elements: 0.106 eV per atom



A plane-wave DFT calculation with PBE was carried out for Pm2Nd4Dy5 after structural relaxation.

a = 5.720 Å, b = 6.677 Å, c = 10.089 Å
α = 90.94°, β = 106.47°, γ = 90.00°
Fractional coordinates of all 11 atoms:
Pm (0.402, 0.447, 0.804)
Pm (0.598, 0.553, 0.196)
Nd (0.304, 0.921, 0.609)
Nd (0.979, 0.716, 0.958)
Nd (0.696, 0.079, 0.391)
Nd (0.021, 0.284, 0.042)
Dy (0.791, 0.600, 0.581)
Dy (0.209, 0.400, 0.419)
Dy (0.869, 0.107, 0.738)
Dy (0.500, 0.000, 0.000)
Dy (0.131, 0.893, 0.262)

## Properties
electronic total energy: -4.586 eV per atom
energy above the lowest structure with this stoichiometry: 0.00 eV per formula unit
energy relative to the elements: 0.104 eV per atom



A plane-wave DFT calculation with PBE was carried out for Ho7Ir2Pd2 after structural relaxation.

a = 6.635 Å, b = 6.892 Å, c = 6.635 Å
α = 90.00°, β = 103.77°, γ = 90.00°
Fractional coordinates of all 11 atoms:
Ho (0.000, 0.258, 0.500)
Ho (0.500, 0.742, 0.000)
Ho (0.000, 0.742, 0.500)
Ho (0.500, 0.258, 0.000)
Ho (0.000, 0.000, 0.000)
Ho (0.500, 0.747, 0.500)
Ho (0.500, 0.253, 0.500)
Ir (0.718, 0.000, 0.282)
Ir (0.282, 0.000, 0.718)
Pd (0.790, 0.500, 0.790)
Pd (0.210, 0.500, 0.210)

## Properties
electronic total energy: -6.037 eV per atom
energy relative to the elements: -0.568 eV per atom



A plane-wave DFT calculation with PBE was carried out for K2NpCl3O3 after structural relaxation.

a = 3.264 Å, b = 8.244 Å, c = 8.244 Å
α = 120.00°, β = 90.00°, γ = 90.00°
Site moments in Bohr magnetons follow the coordinates.
Fractional coordinates of all 9 atoms:
K (0.500, 0.333, 0.667)  0.00
K (0.500, 0.667, 0.333)  0.00
Np (0.000, 0.000, 0.000)  -0.58
Cl (0.000, 0.000, 0.370)  0.01
Cl (0.000, 0.630, 0.630)  0.01
Cl (0.000, 0.370, 0.000)  0.01
O (0.500, 0.832, 0.000)  0.09
O (0.500, 0.168, 0.168)  0.09
O (0.500, 0.000, 0.832)  0.09

## Properties
electronic total energy: -5.732 eV per atom



A plane-wave DFT calculation with PBE was carried out for PmHf2Ga4 after structural relaxation.

a = 3.981 Å, b = 4.003 Å, c = 9.297 Å
α = 102.43°, β = 102.36°, γ = 90.00°
Fractional coordinates of all 7 atoms:
Hf (0.810, 0.810, 0.621)
Hf (0.190, 0.190, 0.379)
Ga (0.655, 0.655, 0.311)
Ga (0.345, 0.345, 0.689)
Ga (0.071, 0.571, 0.142)
Ga (0.929, 0.429, 0.858)
Pm (0.500, 0.000, 0.000)

## Properties
electronic total energy: -5.785 eV per atom
energy relative to the elements: -0.532 eV per atom



A plane-wave DFT calculation with PBE was carried out for LiSi2Tc after structural relaxation.

a = 4.715 Å, b = 4.715 Å, c = 4.715 Å
α = 135.22°, β = 135.22°, γ = 65.18°
Site moments in Bohr magnetons follow the coordinates.
Fractional coordinates of all 4 atoms:
Li (0.750, 0.250, 0.500)  0.00
Si (0.000, 0.000, 0.000)  0.00
Si (0.250, 0.750, 0.500)  0.00
Tc (0.500, 0.500, 0.000)  0.52

## Properties
electronic total energy: -5.967 eV per atom
energy above the lowest structure with this stoichiometry: 0.45 eV per formula unit



A plane-wave DFT calculation with PBE was carried out for La2AlRu after structural relaxation.

a = 4.446 Å, b = 4.189 Å, c = 6.152 Å
α = 70.06°, β = 90.00°, γ = 90.00°
Fractional coordinates of all 4 atoms:
Ru (0.000, 0.675, 0.526)
Al (0.500, 0.566, 0.743)
La (0.000, 0.992, 0.890)
La (0.500, 0.266, 0.342)

## Properties
electronic total energy: -6.035 eV per atom
energy relative to the elements: -0.317 eV per atom



A plane-wave DFT calculation with PBE was carried out for Ti2Co13 after structural relaxation.

a = 6.463 Å, b = 6.463 Å, c = 6.958 Å
α = 62.33°, β = 62.33°, γ = 60.00°
Site moments in Bohr magnetons follow the coordinates.
Fractional coordinates of all 15 atoms:
Ti (0.261, 0.261, 0.218)  -0.56
Ti (0.739, 0.739, 0.782)  -0.56
Co (0.500, 0.500, 0.500)  1.06
Co (0.485, 0.854, 0.175)  1.32
Co (0.485, 0.485, 0.175)  1.32
Co (0.854, 0.485, 0.175)  1.32
Co (0.146, 0.515, 0.825)  1.32
Co (0.515, 0.146, 0.825)  1.32
Co (0.515, 0.515, 0.825)  1.32
Co (0.261, 0.888, 0.590)  1.61
Co (0.261, 0.261, 0.590)  1.61
Co (0.888, 0.261, 0.590)  1.61
Co (0.112, 0.739, 0.410)  1.61
Co (0.739, 0.112, 0.410)  1.61
Co (0.739, 0.739, 0.410)  1.61

## Properties
electronic total energy: -6.786 eV per atom
energy relative to the elements: 0.425 eV per atom



A plane-wave DFT calculation with PBE was carried out for ZnFe2Pb after structural relaxation.

a = 3.962 Å, b = 3.951 Å, c = 4.073 Å
α = 90.00°, β = 90.00°, γ = 90.00°
Site moments in Bohr magnetons follow the coordinates.
Fractional coordinates of all 4 atoms:
Fe (0.000, 0.000, 0.000)  2.63
Fe (0.500, 0.500, 0.000)  2.63
Pb (0.500, 0.000, 0.500)  -0.03
Zn (0.000, 0.500, 0.500)  -0.05

## Properties
electronic total energy: -5.033 eV per atom
energy relative to the elements: 0.444 eV per atom



A plane-wave DFT calculation with PBE was carried out for Li2Tl after structural relaxation.

a = 8.982 Å, b = 8.982 Å, c = 8.982 Å
α = 60.00°, β = 60.00°, γ = 60.00°
Fractional coordinates of all 24 atoms:
Li (0.000, 0.500, 0.000)
Li (0.500, 0.000, 0.000)
Li (0.500, 0.500, 0.000)
Li (0.500, 0.500, 0.500)
Li (0.925, 0.925, 0.825)
Li (0.925, 0.325, 0.825)
Li (0.325, 0.925, 0.825)
Li (0.925, 0.325, 0.425)
Li (0.325, 0.925, 0.425)
Li (0.325, 0.325, 0.425)
Li (0.075, 0.075, 0.175)
Li (0.075, 0.675, 0.175)
Li (0.675, 0.075, 0.175)
Li (0.075, 0.675, 0.575)
Li (0.675, 0.075, 0.575)
Li (0.675, 0.675, 0.575)
Tl (0.718, 0.718, 0.845)
Tl (0.718, 0.718, 0.218)
Tl (0.718, 0.345, 0.218)
Tl (0.345, 0.718, 0.218)
Tl (0.282, 0.282, 0.155)
Tl (0.282, 0.282, 0.782)
Tl (0.282, 0.655, 0.782)
Tl (0.655, 0.282, 0.782)

## Properties
electronic total energy: -2.252 eV per atom
energy relative to the elements: -0.188 eV per atom



A plane-wave DFT calculation with PBE was carried out for TlCdGa2 after structural relaxation.

a = 5.098 Å, b = 5.098 Å, c = 5.098 Å
α = 60.00°, β = 60.00°, γ = 60.00°
Fractional coordinates of all 4 atoms:
Tl (0.500, 0.500, 0.500)
Ga (0.250, 0.250, 0.250)
Ga (0.750, 0.750, 0.750)
Cd (0.000, 0.000, 0.000)

## Properties
electronic total energy: -2.225 eV per atom
energy above the lowest structure with this stoichiometry: 0.20 eV per formula unit
energy relative to the elements: 0.109 eV per atom



A plane-wave DFT calculation with PBE was carried out for Pr6Cd23 after structural relaxation.

a = 10.047 Å, b = 10.047 Å, c = 10.047 Å
α = 60.00°, β = 60.00°, γ = 60.00°
Fractional coordinates of all 29 atoms:
Pr (0.207, 0.793, 0.793)
Pr (0.793, 0.207, 0.207)
Pr (0.207, 0.207, 0.793)
Pr (0.793, 0.793, 0.207)
Pr (0.207, 0.793, 0.207)
Pr (0.793, 0.207, 0.793)
Cd (0.500, 0.500, 0.500)
Cd (0.500, 0.000, 0.000)
Cd (0.000, 0.500, 0.500)
Cd (0.500, 0.500, 0.000)
Cd (0.000, 0.000, 0.500)
Cd (0.500, 0.000, 0.500)
Cd (0.000, 0.500, 0.000)
Cd (0.135, 0.622, 0.622)
Cd (0.622, 0.622, 0.135)
Cd (0.622, 0.135, 0.622)
Cd (0.622, 0.622, 0.622)
Cd (0.378, 0.378, 0.865)
Cd (0.865, 0.378, 0.378)
Cd (0.378, 0.865, 0.378)
Cd (0.378, 0.378, 0.378)
Cd (0.499, 0.834, 0.834)
Cd (0.834, 0.834, 0.499)
Cd (0.834, 0.499, 0.834)
Cd (0.834, 0.834, 0.834)
Cd (0.166, 0.166, 0.501)
Cd (0.501, 0.166, 0.166)
Cd (0.166, 0.501, 0.166)
Cd (0.166, 0.166, 0.166)

## Properties
electronic total energy: -1.965 eV per atom
energy relative to the elements: -0.251 eV per atom



A plane-wave DFT calculation with PBE was carried out for Pm6Ge3Au after structural relaxation.

a = 4.268 Å, b = 12.178 Å, c = 12.232 Å
α = 109.34°, β = 90.00°, γ = 90.00°
Fractional coordinates of all 20 atoms:
Pm (0.750, 0.470, 0.604)
Pm (0.250, 0.530, 0.396)
Pm (0.750, 0.937, 0.117)
Pm (0.250, 0.063, 0.883)
Pm (0.750, 0.389, 0.049)
Pm (0.250, 0.611, 0.951)
Pm (0.750, 0.728, 0.275)
Pm (0.250, 0.272, 0.725)
Pm (0.750, 0.117, 0.449)
Pm (0.250, 0.883, 0.551)
Pm (0.750, 0.778, 0.766)
Pm (0.250, 0.222, 0.234)
Ge (0.750, 0.450, 0.832)
Ge (0.250, 0.550, 0.168)
Ge (0.750, 0.693, 0.507)
Ge (0.250, 0.307, 0.493)
Ge (0.750, 0.154, 0.064)
Ge (0.250, 0.846, 0.936)
Au (0.750, 0.063, 0.691)
Au (0.250, 0.937, 0.309)

## Properties
electronic total energy: -5.158 eV per atom
energy relative to the elements: -0.594 eV per atom



A plane-wave DFT calculation with PBE was carried out for Ca2SiW after structural relaxation.

a = 5.624 Å, b = 5.624 Å, c = 5.624 Å
α = 137.21°, β = 137.21°, γ = 62.12°
Fractional coordinates of all 4 atoms:
Ca (0.000, 0.000, 0.000)
Ca (0.500, 0.500, 0.000)
Si (0.750, 0.250, 0.500)
W (0.250, 0.750, 0.500)

## Properties
electronic total energy: -4.963 eV per atom



A plane-wave DFT calculation with PBE was carried out for NaCu2Cl after structural relaxation.

a = 4.690 Å, b = 4.690 Å, c = 4.690 Å
α = 60.00°, β = 60.00°, γ = 60.00°
Fractional coordinates of all 4 atoms:
Na (0.000, 0.000, 0.000)
Cu (0.250, 0.250, 0.250)
Cu (0.750, 0.750, 0.750)
Cl (0.500, 0.500, 0.500)

## Properties
electronic total energy: -2.442 eV per atom
energy above the lowest structure with this stoichiometry: 1.20 eV per formula unit



A plane-wave DFT calculation with PBE was carried out for Sr2CdBiAs after structural relaxation.

a = 5.966 Å, b = 5.074 Å, c = 5.966 Å
α = 90.00°, β = 90.00°, γ = 90.00°
Fractional coordinates of all 5 atoms:
Sr (0.000, 0.000, 0.500)
Sr (0.500, 0.000, 0.000)
As (0.000, 0.000, 0.000)
Bi (0.500, 0.500, 0.500)
Cd (0.000, 0.500, 0.000)

## Properties
electronic total energy: -3.152 eV per atom
energy above the lowest structure with this stoichiometry: 1.01 eV per formula unit
energy relative to the elements: -0.590 eV per atom